A plane-wave DFT calculation with PBE was carried out for RuW2Au after structural relaxation.

Structure (CIF):
```
data_RuW2Au
_chemical_formula_sum 'Ru3 W6 Au3'
_symmetry_space_group_name_H-M 'R 3 m'
_symmetry_Int_Tables_number 160
_symmetry_space_group_name_Hall 'R 3 -2"'
_cell_length_a 2.8073
_cell_length_b 2.8073
_cell_length_c 28.3594
_cell_angle_alpha 90.00
_cell_angle_beta 90.00
_cell_angle_gamma 120.00
loop_
_atom_site_label
_atom_site_fract_x
_atom_site_fract_y
_atom_site_fract_z
Ru1 0.0000 0.0000 0.0000
W1 0.0000 0.0000 0.4947
W2 0.0000 0.0000 0.7415
Au1 0.0000 0.0000 0.2468
```

Values from the calculation:
ΔE_f   0.273 eV/atom
Energy above the lowest structure with this stoichiometry   91 meV per atom
Crystal system   trigonal
Magnetic moment   0.00 μB/f.u.
E   -9.342 eV/atom